No. 1
VASP calculation (GGA-PBE) on crystalline Tl2AgPI at its relaxed geometry.

Calculated values
Formation energy without anion corrections   -0.23 eV per formula unit
Spin magnetization   0.000 μB per cell

abc: 5.9180 5.9180 4.7142
angles: 90.00 90.00 90.00
Last column: nearest neighbours and their distance in Å.
Space group P4/mmm (No. 123)
Unique sites:
1 Tl 0.0000 0.5000 0.0000 x2  2 P 2.96
2 Ag 0.0000 0.0000 0.5000 x1  2 P 2.36
3 P 0.0000 0.0000 0.0000 x1  2 Ag 2.36
4 I 0.5000 0.5000 0.5000 x1  8 Tl 3.78, 4 Ag 4.18

No. 2
VASP calculation (GGA-PBE) on crystalline PaAgI at its relaxed geometry.

Calculated values
Formation energy without anion corrections   0.23 eV per formula unit
Spin magnetization   0.002 μB per cell

abc: 15.3915 3.5958 6.2274
angles: 90.00 90.00 90.00
Last column: nearest neighbours and their distance in Å.
Space group Amm2 (No. 38)
Unique sites:
1 Pa 0.1508 0.0000 0.0000 x4  3 Ag 3.11-3.12, 3 I 3.12
2 Ag 0.0000 0.0000 0.3335 x2  6 Pa 3.11-3.12
3 Ag 0.5000 0.0000 0.3304 x2  2 I 3.05
4 I 0.3020 0.0000 0.3332 x4  1 Ag 3.05, 3 Pa 3.12

No. 3
VASP calculation (GGA-PBE) on crystalline PaAg2I8 at its relaxed geometry.

Calculated values
Formation energy without anion corrections   -6.23 eV per formula unit
Spin magnetization   0.188 μB per cell

abc: 12.0165 12.7180 6.8359
angles: 90.00 93.00 90.00
Last column: nearest neighbours and their distance in Å.
Space group C2/m (No. 12)
Unique sites:
1 Pa 0.0000 0.0000 0.0000 x2  6 I 2.93-2.99
2 Ag 0.2453 0.5000 0.2601 x4  3 I 2.73-2.83
3 I 0.0177 0.5000 0.2518 x4  1 Ag 2.73
4 I 0.1120 0.1738 0.7921 x8  1 Ag 2.83, 1 Pa 2.99
5 I 0.1893 0.0000 0.2872 x4  1 Pa 2.93, 1 Ag 3.15

No. 4
VASP calculation (GGA-PBE) on crystalline PaAgI6 at its relaxed geometry.

Calculated values
Formation energy without anion corrections   -5.94 eV per formula unit
Spin magnetization   0.000 μB per cell

abc: 7.6284 14.0571 7.6273
angles: 90.00 114.60 90.00
Last column: nearest neighbours and their distance in Å.
Space group C2/m (No. 12)
Unique sites:
1 Pa 0.0000 0.0000 0.0000 x2  6 I 2.92-2.98
2 Ag 0.0000 0.5000 0.5000 x2  4 I 2.98
3 I 0.2274 0.0000 0.7727 x4  1 Pa 2.92
4 I 0.2494 0.3469 0.7496 x8  1 Ag 2.98, 1 Pa 2.98

No. 5
VASP calculation (GGA-PBE) on crystalline PaAg3I9 at its relaxed geometry.

Calculated values
Formation energy without anion corrections   -6.15 eV per formula unit
Spin magnetization   0.001 μB per cell

abc: 22.4464 10.4790 12.9411
angles: 90.00 124.20 90.00
Last column: nearest neighbours and their distance in Å.
Space group Cc (No. 9)
Unique sites:
1 Pa 0.0000 0.2503 0.0000 x4  6 I 2.91-2.99
2 Ag 0.1297 0.1470 0.4421 x4  4 I 2.82-2.93
3 Ag 0.2500 0.3908 0.7498 x4  2 I 2.69
4 Ag 0.3704 0.1477 0.0592 x4  4 I 2.82-2.94
5 I 0.0053 0.2725 0.7747 x4  1 Ag 2.86, 1 Pa 2.99
6 I 0.0693 0.0064 0.5587 x4  1 Ag 2.93, 1 Pa 2.98
7 I 0.1418 0.3675 0.1500 x4  1 Pa 2.91, 1 Ag 3.23
8 I 0.2348 0.3413 0.5325 x4  2 Ag 2.69-2.82
9 I 0.2497 0.0003 0.4974 x4  2 Ag 2.82
10 I 0.2651 0.3418 0.9672 x4  2 Ag 2.69-2.82
11 I 0.3583 0.3671 0.3497 x4  1 Pa 2.91, 1 Ag 3.24
12 I 0.4308 0.0069 0.9416 x4  1 Ag 2.94, 1 Pa 2.98
13 I 0.4949 0.2724 0.7254 x4  1 Ag 2.86, 1 Pa 2.99

No. 6
VASP calculation (GGA-PBE) on crystalline PaAg2I8 at its relaxed geometry.

Calculated values
Formation energy without anion corrections   -5.61 eV per formula unit
Spin magnetization   4.634 μB per cell

abc: 20.7097 9.2261 14.4583
angles: 90.00 132.92 90.00
Last column: nearest neighbours and their distance in Å.
Space group C2/c (No. 15)
Unique sites:
1 Pa 0.0000 0.0221 0.2500 x4  6 I 2.93-3.00
2 Ag 0.0878 0.2412 0.0012 x8  3 I 2.69-2.82
3 I 0.0755 0.2479 0.2046 x8  1 Pa 2.93, 1 Ag 3.12
4 I 0.0900 0.2052 0.7234 x8  1 Ag 2.82, 1 Pa 3.00
5 I 0.1622 0.0281 0.5240 x8  1 Ag 2.82, 1 Pa 2.98
6 I 0.1773 0.4922 0.0735 x8  1 Ag 2.69